# 1
# GGA-PBE ScGe3I, optimized geometry
data_ScGe3I
_space_group_name_H-M_alt 'P 1'
_space_group_IT_number 1
_space_group_name_Hall 'P 1'
_cell_length_a 5.362
_cell_length_b 5.362
_cell_length_c 5.362
_cell_angle_alpha 90.00
_cell_angle_beta 90.00
_cell_angle_gamma 90.00
loop_
_atom_site_label
_atom_site_type_symbol
_atom_site_fract_x
_atom_site_fract_y
_atom_site_fract_z
Sc1 Sc 0.500 0.500 0.500
I1 I 0.000 0.000 0.000
Ge1 Ge 0.000 0.500 0.000
Ge2 Ge 0.500 0.000 0.000
Ge3 Ge 0.000 0.000 0.500
# Relative energy among the computed polymorphs: 558 meV/atom
# Energy relative to the elements, uncorrected: 1.053 eV per atom
# SG: Pm-3m (221)

=====

# 2
# GGA-PBE MnCoPd, optimized geometry
data_MnCoPd
_space_group_name_H-M_alt 'P 1'
_space_group_IT_number 1
_space_group_name_Hall 'P 1'
_cell_length_a 2.916
_cell_length_b 2.916
_cell_length_c 5.187
_cell_angle_alpha 106.33
_cell_angle_beta 106.33
_cell_angle_gamma 90.00
loop_
_atom_site_label
_atom_site_type_symbol
_atom_site_fract_x
_atom_site_fract_y
_atom_site_fract_z
Pd1 Pd 0.951 0.951 0.902
Co1 Co 0.627 0.627 0.254
Mn1 Mn 0.272 0.272 0.544
# Energy of formation: 0.057 eV/atom
# SG: I4mm (107)